1.
DFT (GGA-PBEsol) results for crystalline PmGd3 at its relaxed geometry.

a b c (Å): 4.9635 4.9635 4.9635
angles (deg): 90.00 90.00 90.00
Closest atoms and distances in Å follow each position.
Fractional positions:
Pm: 0.0000 0.0000 0.0000  12 Gd 3.51
Gd: 0.0000 0.5000 0.5000  8 Gd 3.51, 4 Pm 3.51
Gd: 0.5000 0.0000 0.5000  8 Gd 3.51, 4 Pm 3.51
Gd: 0.5000 0.5000 0.0000  8 Gd 3.51, 4 Pm 3.51

Calculated values
Energy   -12.1033 eV per atom
Energy of formation   0.02 eV per atom
Total magnetic moment   21.92 μB per formula unit
Space group   Pm-3m (221)

---

2.
DFT (GGA-PBEsol) results for crystalline Pm3Gd at its relaxed geometry.

a b c (Å): 5.0242 5.0242 5.0242
angles (deg): 90.00 90.00 90.00
Closest atoms and distances in Å follow each position.
Fractional positions:
Pm: 0.0000 0.0000 0.5000  4 Gd 3.55, 8 Pm 3.55
Pm: 0.0000 0.5000 0.0000  4 Gd 3.55, 8 Pm 3.55
Pm: 0.5000 0.0000 0.0000  4 Gd 3.55, 8 Pm 3.55
Gd: 0.5000 0.5000 0.5000  12 Pm 3.55

Calculated values
Energy   -7.4598 eV per atom
Energy of formation   0.00 eV per atom
Total magnetic moment   7.31 μB per formula unit
Space group   Pm-3m (221)

---

3.
DFT (GGA-PBEsol) results for crystalline PrGdZn2 at its relaxed geometry.

a b c (Å): 3.5771 3.5771 7.2113
angles (deg): 90.00 90.00 90.00
Closest atoms and distances in Å follow each position.
Fractional positions:
Pr: 0.0000 0.0000 0.0000  8 Zn 3.17
Gd: 0.0000 0.0000 0.5000  8 Zn 3.05
Zn: 0.5000 0.5000 0.2648  4 Gd 3.05, 4 Pr 3.17, 1 Zn 3.39
Zn: 0.5000 0.5000 0.7352  4 Gd 3.05, 4 Pr 3.17, 1 Zn 3.39

Calculated values
Energy   -6.0128 eV per atom
Energy of formation   -0.31 eV per atom
Total magnetic moment   7.53 μB per formula unit
Space group   P4/mmm (123)